1.
The following is a DFT calculation (PBE-GGA) of a relaxed AsC2Se crystal.

a b c (Å): 4.113 4.113 4.113
angles (deg): 60.00 60.00 60.00
Positions (direct):
Se 0.500 0.500 0.500
C 0.250 0.250 0.250
C 0.750 0.750 0.750
As 0.000 0.000 0.000

Computed properties:
total moment	0.00	μB per cell
space group	Fm-3m, No. 225
DOS at the Fermi energy	0.67	states/eV/atom
formation energy (no corrections)	2514.5	meV per atom
ΔE to the lowest computed polymorph	923	meV per atom

2.
The following is a DFT calculation (PBE-GGA) of a relaxed Th2SnPd crystal.

a b c (Å): 4.264 6.390 8.671
angles (deg): 111.01 90.00 90.00
Positions (direct):
Sn 0.750 0.678 0.798
Sn 0.250 0.322 0.202
Th 0.750 0.217 0.897
Th 0.250 0.783 0.103
Th 0.250 0.793 0.551
Pd 0.750 0.639 0.287
Th 0.750 0.207 0.449
Pd 0.250 0.361 0.713

Computed properties:
total moment	0.00	μB per cell
space group	P2_1/m, No. 11
DOS at the Fermi energy	1.00	states/eV/atom
ΔE_f	-0.6355	eV/atom

3.
The following is a DFT calculation (PBE-GGA) of a relaxed LaPm2AgHg4 crystal.

a b c (Å): 5.184 5.184 9.664
angles (deg): 74.44 74.44 60.00
Positions (direct):
Hg 0.380 0.380 0.860
Pm 0.761 0.761 0.716
Hg 0.126 0.126 0.623
La 0.000 0.000 0.000
Pm 0.239 0.239 0.284
Hg 0.620 0.620 0.140
Ag 0.500 0.500 0.500
Hg 0.874 0.874 0.377

Computed properties:
total moment	0.00	μB per cell
space group	R-3m, No. 166
DOS at the Fermi energy	0.92	states/eV/atom
ΔE_f	-0.3887	eV/atom

4.
The following is a DFT calculation (PBE-GGA) of a relaxed HgSb2Ru crystal.

a b c (Å): 4.937 4.938 3.519
angles (deg): 90.00 90.00 90.00
Positions (direct):
Ru 0.000 0.500 0.500
Hg 0.500 0.000 0.500
Sb 0.500 0.500 0.000
Sb 0.000 0.000 0.000

Computed properties:
total moment	0.00	μB per cell
space group	P4/mmm, No. 123
DOS at the Fermi energy	1.11	states/eV/atom
formation energy (no corrections)	501.8	meV per atom

5.
The following is a DFT calculation (PBE-GGA) of a relaxed PrPu2WN4 crystal.

a b c (Å): 3.429 6.215 11.928
angles (deg): 90.00 90.00 106.01
Site moments in Bohr magnetons follow the coordinates.
Positions (direct):
Pr 0.901 0.802 0.250  -0.01
Pu 0.631 0.261 0.459  4.74
N 0.263 0.526 0.379  -0.09
N 0.737 0.474 0.879  -0.09
W 0.839 0.679 0.750  0.03
N 0.440 0.880 0.750  -0.02
Pu 0.631 0.261 0.041  4.74
N 0.000 0.000 0.500  -0.21
Pu 0.369 0.739 0.959  4.74
N 0.000 0.000 0.000  -0.21
N 0.560 0.120 0.250  -0.02
N 0.737 0.474 0.621  -0.09
Pr 0.099 0.198 0.750  -0.01
W 0.161 0.321 0.250  0.03
N 0.263 0.526 0.121  -0.09
Pu 0.369 0.739 0.541  4.74

Computed properties:
total moment	18.98	μB per cell
space group	Cmcm, No. 63
DOS at the Fermi energy	1.43	states/eV/atom
formation energy (no corrections)	-927.1	meV per atom

6.
The following is a DFT calculation (PBE-GGA) of a relaxed NdSmCoHg crystal.

a b c (Å): 5.173 5.173 5.173
angles (deg): 60.00 60.00 60.00
Site moments in Bohr magnetons follow the coordinates.
Positions (direct):
Sm 0.250 0.250 0.250  -0.15
Co 0.000 0.000 0.000  1.17
Hg 0.500 0.500 0.500  -0.02
Nd 0.750 0.750 0.750  -0.14

Computed properties:
total moment	0.55	μB per cell
space group	F-43m, No. 216
DOS at the Fermi energy	0.86	states/eV/atom
ΔE_f	-0.1434	eV/atom